Record 1
Below is an optimized crystal structure of Nb2CuRe2, with properties calculated at the PBE level.

- Theoretical density: 12.0 g/cm³
- Relative energy among the computed polymorphs: 0.0000 eV per atom

Unit cell a=7.3460 b=7.3460 c=3.1848 alpha=90.00 beta=90.00 gamma=90.00
Last column: nearest neighbours and their distance in Å.
Space group P4/mbm (No. 127)
One atom of each set of equivalent atoms:
Nb (0.1600, 0.3400, 0.0000)  6 Re 2.62-2.72
Cu (0.0000, 0.0000, 0.5000)  4 Re 2.84
Re (0.1397, 0.6397, 0.5000)  6 Nb 2.62-2.72, 2 Cu 2.84, 1 Re 2.90


Record 2
Below is an optimized crystal structure of Nb2CuRe, with properties calculated at the PBE level.

- Theoretical density: 10.5 g/cm³
- VASP energy: -8.595 eV/atom

Unit cell a=7.1324 b=7.1324 c=5.4346 alpha=90.00 beta=90.00 gamma=90.00
Last column: nearest neighbours and their distance in Å.
Space group I-42d (No. 122)
One atom of each set of equivalent atoms:
Nb (0.2445, 0.2500, 0.1250)  2 Re 2.58, 2 Cu 2.64, 2 Nb 2.72
Cu (0.0000, 0.0000, 0.5000)  4 Nb 2.64, 2 Re 2.72
Re (0.0000, 0.0000, 0.0000)  4 Nb 2.58, 2 Cu 2.72


Record 3
Below is an optimized crystal structure of NbCu3Re, with properties calculated at the PBE level.

- Theoretical density: 8.4 g/cm³
- Relative energy among the computed polymorphs: 0.0000 eV per atom

Unit cell a=4.5232 b=4.5232 c=4.5232 alpha=90.00 beta=90.00 gamma=90.00
Last column: nearest neighbours and their distance in Å.
Space group Pm-3m (No. 221)
One atom of each set of equivalent atoms:
Nb (0.0000, 0.0000, 0.0000)  12 Cu 3.20
Cu (0.0000, 0.5000, 0.5000)  2 Re 2.26
Re (0.5000, 0.5000, 0.5000)  6 Cu 2.26


Record 4
Below is an optimized crystal structure of Nb2CuRe, with properties calculated at the PBE level.

- Theoretical density: 11.3 g/cm³
- VASP energy: -9.217 eV/atom

Unit cell a=3.2293 b=3.2293 c=6.1440 alpha=90.00 beta=90.00 gamma=90.00
Last column: nearest neighbours and their distance in Å.
Space group P4/mmm (No. 123)
One atom of each set of equivalent atoms:
Nb (0.0000, 0.0000, 0.2473)  4 Cu 2.74, 4 Re 2.76, 1 Nb 3.04
Cu (0.5000, 0.5000, 0.0000)  8 Nb 2.74
Re (0.5000, 0.5000, 0.5000)  8 Nb 2.76, 2 Cu 3.07


Record 5
Below is an optimized crystal structure of TaNbCuRe2, with properties calculated at the PBE level.

- Theoretical density: 11.8 g/cm³
- VASP energy: -8.204 eV/atom

Unit cell a=4.7045 b=4.7045 c=4.5088 alpha=90.00 beta=90.00 gamma=90.00
Last column: nearest neighbours and their distance in Å.
Space group P4/mmm (No. 123)
One atom of each set of equivalent atoms:
Ta (0.0000, 0.0000, 0.0000)  8 Re 3.26, 4 Cu 3.33
Nb (0.5000, 0.5000, 0.5000)  2 Cu 2.25, 4 Re 2.35
Cu (0.5000, 0.5000, 0.0000)  2 Nb 2.25
Re (0.0000, 0.5000, 0.5000)  2 Nb 2.35


Record 6
Below is an optimized crystal structure of NbZn2CuRe, with properties calculated at the PBE level.

- Theoretical density: 9.0 g/cm³
- VASP energy: -4.741 eV/atom

Unit cell a=4.2734 b=4.2734 c=4.7654 alpha=90.00 beta=90.00 gamma=90.00
Last column: nearest neighbours and their distance in Å.
Space group P4/mmm (No. 123)
One atom of each set of equivalent atoms:
Nb (0.0000, 0.0000, 0.0000)  2 Cu 2.38
Zn (0.0000, 0.5000, 0.5000)  2 Cu 2.14
Cu (0.0000, 0.0000, 0.5000)  4 Zn 2.14, 2 Nb 2.38
Re (0.5000, 0.5000, 0.0000)  4 Nb 3.02, 8 Zn 3.20


Record 7
Below is an optimized crystal structure of ZrNbCuRe, with properties calculated at the PBE level.

- Theoretical density: 10.6 g/cm³
- VASP energy: -8.885 eV/atom

Unit cell a=6.4829 b=6.4829 c=6.4829 alpha=90.00 beta=90.00 gamma=90.00
Last column: nearest neighbours and their distance in Å.
Space group F-43m (No. 216)
One atom of each set of equivalent atoms:
Zr (0.0000, 0.0000, 0.0000)  4 Re 2.81, 4 Cu 2.81
Nb (0.0000, 0.0000, 0.5000)  4 Re 2.81, 4 Cu 2.81
Cu (0.2500, 0.2500, 0.7500)  4 Zr 2.81, 4 Nb 2.81
Re (0.2500, 0.2500, 0.2500)  4 Zr 2.81, 4 Nb 2.81


Record 8
Below is an optimized crystal structure of NbCu4Rh, with properties calculated at the PBE level.

- Theoretical density: 9.5 g/cm³
- VASP energy: -5.746 eV/atom

Unit cell a=6.8000 b=6.8000 c=6.8000 alpha=90.00 beta=90.00 gamma=90.00
Last column: nearest neighbours and their distance in Å.
Space group F-43m (No. 216)
One atom of each set of equivalent atoms:
Nb (0.0000, 0.0000, 0.0000)  12 Cu 2.82, 4 Rh 2.94
Cu (0.1246, 0.1246, 0.3754)  6 Cu 2.40-2.41
Rh (0.2500, 0.2500, 0.7500)  12 Cu 2.82, 4 Nb 2.94


Record 9
Below is an optimized crystal structure of Nb2CuRh, with properties calculated at the PBE level.

- Theoretical density: 8.6 g/cm³
- VASP energy: -7.625 eV/atom

Unit cell a=7.1577 b=7.1577 c=5.3218 alpha=90.00 beta=90.00 gamma=90.00
Last column: nearest neighbours and their distance in Å.
Space group I-42d (No. 122)
One atom of each set of equivalent atoms:
Nb (0.2345, 0.7500, 0.1250)  2 Rh 2.54, 2 Nb 2.67, 2 Cu 2.69
Cu (0.0000, 0.0000, 0.5000)  2 Rh 2.66, 4 Nb 2.69
Rh (0.0000, 0.0000, 0.0000)  4 Nb 2.54, 2 Cu 2.66


Record 10
Below is an optimized crystal structure of Nb2CuRh2, with properties calculated at the PBE level.

- Theoretical density: 9.6 g/cm³
- Relative energy among the computed polymorphs: 0.0604 eV per atom

Unit cell a=4.5049 b=12.5908 c=5.5566 alpha=90.00 beta=90.00 gamma=90.00
Last column: nearest neighbours and their distance in Å.
Space group Cmc2_1 (No. 36)
One atom of each set of equivalent atoms:
Nb (0.0000, 0.0868, 0.0000)  4 Rh 2.58-2.86, 2 Cu 2.66-2.69
Nb (0.0000, 0.3057, 0.1824)  6 Rh 2.65-2.92, 3 Cu 2.68-2.77, 1 Nb 2.94
Cu (0.0000, 0.1266, 0.4708)  5 Rh 2.62-2.82, 5 Nb 2.66-2.77
Rh (0.0000, 0.3066, 0.7059)  3 Cu 2.62-2.82, 1 Rh 2.64, 6 Nb 2.65-2.91
Rh (0.0000, 0.4994, 0.8924)  3 Nb 2.58-2.72, 3 Rh 2.64-2.78, 2 Cu 2.79


Record 11
Below is an optimized crystal structure of Nb2CuRh2, with properties calculated at the PBE level.

- Theoretical density: 9.1 g/cm³
- Relative energy among the computed polymorphs: 0.0914 eV per atom

Unit cell a=7.4179 b=7.4179 c=3.0049 alpha=90.00 beta=90.00 gamma=90.00
Last column: nearest neighbours and their distance in Å.
Space group P4/mbm (No. 127)
One atom of each set of equivalent atoms:
Nb (0.1684, 0.3316, 0.0000)  6 Rh 2.57-2.71
Cu (0.0000, 0.0000, 0.5000)  4 Rh 2.90, 2 Cu 3.00, 8 Nb 3.14
Rh (0.1331, 0.6331, 0.5000)  6 Nb 2.57-2.71, 1 Rh 2.79


Record 12
Below is an optimized crystal structure of NbCu3Rh4, with properties calculated at the PBE level.

- Theoretical density: 10.3 g/cm³
- VASP energy: -6.617 eV/atom

Unit cell a=8.7348 b=5.7161 c=4.4704 alpha=90.00 beta=90.00 gamma=90.00
Last column: nearest neighbours and their distance in Å.
Space group Pmma (No. 51)
One atom of each set of equivalent atoms:
Nb (0.0000, 0.0000, 0.0000)  8 Rh 2.66-2.68, 4 Cu 2.84-2.86
Cu (0.0000, 0.5000, 0.0000)  8 Rh 2.62-2.64, 2 Cu 2.80, 2 Nb 2.86
Cu (0.2500, 0.0000, 0.4050)  8 Rh 2.65-2.70, 2 Nb 2.84, 2 Cu 2.86
Cu (0.2500, 0.5000, 0.3909)  8 Rh 2.59-2.66, 4 Cu 2.80-2.86
Rh (0.0000, 0.2532, 0.5000)  6 Cu 2.64-2.65, 2 Nb 2.66, 4 Rh 2.82-2.89
Rh (0.2500, 0.2593, 0.8993)  6 Cu 2.59-2.70, 2 Nb 2.68, 3 Rh 2.75-2.82


Record 13
Below is an optimized crystal structure of Nb5CuRh6, with properties calculated at the PBE level.

- Theoretical density: 10.1 g/cm³
- VASP energy: -8.604 eV/atom

Unit cell a=4.0915 b=7.5137 c=12.1942 alpha=90.00 beta=90.00 gamma=90.00
Last column: nearest neighbours and their distance in Å.
Space group Immm (No. 71)
One atom of each set of equivalent atoms:
Nb (0.0000, 0.0000, 0.0000)  4 Nb 2.76, 8 Rh 2.82-2.88
Nb (0.0000, 0.0000, 0.3305)  8 Rh 2.70-2.79, 2 Cu 2.91, 2 Nb 2.99
Nb (0.0000, 0.5000, 0.3484)  8 Rh 2.74-2.85, 4 Nb 2.76-2.99
Cu (0.0000, 0.5000, 0.0000)  8 Rh 2.68-2.73, 4 Nb 2.91
Rh (0.0000, 0.2308, 0.5000)  2 Cu 2.68, 6 Nb 2.70-2.88, 4 Rh 2.89
Rh (0.0000, 0.2593, 0.1673)  1 Cu 2.73, 7 Nb 2.73-2.85, 4 Rh 2.88-2.89


Record 14
Below is an optimized crystal structure of NbCu2Rh2, with properties calculated at the PBE level.

- Theoretical density: 9.9 g/cm³
- Relative energy among the computed polymorphs: 0.0458 eV per atom

Unit cell a=6.9893 b=6.9893 c=2.9107 alpha=90.00 beta=90.00 gamma=90.00
Last column: nearest neighbours and their distance in Å.
Space group P4/mbm (No. 127)
One atom of each set of equivalent atoms:
Nb (0.0000, 0.0000, 0.0000)  4 Cu 2.76, 2 Nb 2.91, 8 Rh 2.97
Cu (0.1251, 0.3749, 0.0000)  1 Cu 2.47, 6 Rh 2.48-2.55, 2 Nb 2.76
Rh (0.1713, 0.6713, 0.5000)  6 Cu 2.48-2.55


Record 15
Below is an optimized crystal structure of NbCu5Rh6, with properties calculated at the PBE level.

- Theoretical density: 10.3 g/cm³
- VASP energy: -6.278 eV/atom

Unit cell a=4.4703 b=5.6408 c=6.5895 alpha=90.00 beta=96.85 gamma=90.00
Last column: nearest neighbours and their distance in Å.
Space group P2/m (No. 10)
One atom of each set of equivalent atoms:
Nb (0.0000, 0.0000, 0.0000)  8 Rh 2.65, 4 Cu 2.82-2.86
Cu (0.0000, 0.5000, 0.0000)  8 Rh 2.63, 2 Cu 2.81, 2 Nb 2.82
Cu (0.3459, 0.0000, 0.6616)  8 Rh 2.64-2.67, 3 Cu 2.67-2.82, 1 Nb 2.86
Cu (0.3459, 0.5000, 0.6701)  8 Rh 2.60-2.67, 4 Cu 2.77-2.82
Rh (0.1545, 0.2533, 0.3345)  7 Cu 2.63-2.67, 1 Nb 2.65, 4 Rh 2.72-2.86
Rh (0.5000, 0.2535, 0.0000)  6 Cu 2.60-2.67, 2 Nb 2.65, 4 Rh 2.78-2.86


Record 16
Below is an optimized crystal structure of Nb2CuRh, with properties calculated at the PBE level.

- Theoretical density: 9.4 g/cm³
- VASP energy: -8.085 eV/atom

Unit cell a=3.9558 b=3.9558 c=3.9854 alpha=90.00 beta=90.00 gamma=90.00
Last column: nearest neighbours and their distance in Å.
Space group P4/mmm (No. 123)
One atom of each set of equivalent atoms:
Nb (0.0000, 0.5000, 0.0000)  4 Nb 2.80, 4 Rh 2.81, 4 Cu 2.81
Cu (0.0000, 0.0000, 0.5000)  4 Rh 2.80, 8 Nb 2.81
Rh (0.5000, 0.5000, 0.5000)  4 Cu 2.80, 8 Nb 2.81


Record 17
Below is an optimized crystal structure of Nb2CuRh7, with properties calculated at the PBE level.

- Theoretical density: 9.6 g/cm³
- VASP energy: -7.316 eV/atom

Unit cell a=8.0320 b=15.2819 c=2.7411 alpha=90.00 beta=90.00 gamma=90.00
Last column: nearest neighbours and their distance in Å.
Space group Cmmm (No. 65)
One atom of each set of equivalent atoms:
Nb (0.0000, 0.1734, 0.0000)  5 Rh 2.53-2.65, 2 Nb 2.74
Cu (0.0000, 0.5000, 0.5000)  10 Rh 2.67-2.73, 2 Cu 2.74
Rh (0.0000, 0.0000, 0.0000)  6 Rh 2.62-2.74, 2 Nb 2.65
Rh (0.0000, 0.3214, 0.5000)  6 Rh 2.62-2.74, 2 Nb 2.64, 1 Cu 2.73
Rh (0.2249, 0.4078, 0.0000)  1 Nb 2.53, 6 Rh 2.62-2.82, 2 Cu 2.67


Record 18
Below is an optimized crystal structure of Nb4CuRh7, with properties calculated at the PBE level.

- Theoretical density: 9.5 g/cm³
- VASP energy: -8.057 eV/atom

Unit cell a=10.6827 b=4.6448 c=9.2688 alpha=90.00 beta=118.82 gamma=90.00
Last column: nearest neighbours and their distance in Å.
Space group C2/m (No. 12)
One atom of each set of equivalent atoms:
Nb (0.0844, 0.0000, 0.2756)  8 Rh 2.52-2.77
Nb (0.2466, 0.0000, 0.8287)  4 Rh 2.48-2.71
Cu (0.0000, 0.5000, 0.5000)  2 Rh 2.32
Rh (0.0000, 0.0000, 0.5000)  2 Cu 2.32
Rh (0.0773, 0.5000, 0.8263)  4 Rh 2.68-2.91, 1 Cu 2.72, 5 Nb 2.77-2.94
Rh (0.1370, 0.0000, 0.0383)  5 Nb 2.52-2.72, 2 Rh 2.66-2.68
Rh (0.2065, 0.5000, 0.4087)  4 Nb 2.48-2.69, 1 Cu 2.72, 3 Rh 2.75-2.76


Record 19
Below is an optimized crystal structure of Nb2CuRh2, with properties calculated at the PBE level.

- Theoretical density: 8.9 g/cm³
- Relative energy among the computed polymorphs: 0.2276 eV per atom

Unit cell a=7.7159 b=7.7159 c=2.8429 alpha=90.00 beta=90.00 gamma=90.00
Last column: nearest neighbours and their distance in Å.
Space group P4/mbm (No. 127)
One atom of each set of equivalent atoms:
Nb (0.1565, 0.3435, 0.0000)  6 Rh 2.65-2.69, 2 Nb 2.84, 2 Cu 2.91
Cu (0.0000, 0.0000, 0.0000)  2 Cu 2.84, 4 Nb 2.91
Rh (0.1384, 0.6384, 0.5000)  6 Nb 2.65-2.69, 2 Rh 2.84


Record 20
Below is an optimized crystal structure of Nb3CuRh4, with properties calculated at the PBE level.

- Theoretical density: 10.2 g/cm³
- VASP energy: -8.336 eV/atom

Unit cell a=9.0417 b=5.6958 c=4.7793 alpha=90.00 beta=90.00 gamma=90.00
Last column: nearest neighbours and their distance in Å.
Space group Pmma (No. 51)
One atom of each set of equivalent atoms:
Nb (0.0000, 0.0000, 0.0000)  8 Rh 2.77-2.80, 2 Cu 2.85, 2 Nb 2.91
Nb (0.2500, 0.0000, 0.3843)  8 Rh 2.72-2.89, 4 Nb 2.86-2.91
Nb (0.2500, 0.5000, 0.3411)  8 Rh 2.66-2.85, 2 Cu 2.79, 2 Nb 2.86
Cu (0.0000, 0.5000, 0.0000)  8 Rh 2.73-2.77, 4 Nb 2.79-2.85
Rh (0.0000, 0.2548, 0.5000)  6 Nb 2.74-2.80, 2 Cu 2.77, 4 Rh 2.79-2.90
Rh (0.2500, 0.2581, 0.8642)  6 Nb 2.66-2.89, 2 Cu 2.73, 4 Rh 2.76-2.94


Record 21
Below is an optimized crystal structure of NbCu2Rh2, with properties calculated at the PBE level.

- Theoretical density: 9.7 g/cm³
- Relative energy among the computed polymorphs: 0.0874 eV per atom

Unit cell a=6.9869 b=6.9869 c=2.9728 alpha=90.00 beta=90.00 gamma=90.00
Last column: nearest neighbours and their distance in Å.
Space group P4/mbm (No. 127)
One atom of each set of equivalent atoms:
Nb (0.0000, 0.0000, 0.0000)  4 Rh 2.70, 2 Nb 2.97, 8 Cu 3.02
Cu (0.1587, 0.3413, 0.5000)  6 Rh 2.49-2.56
Rh (0.1386, 0.6386, 0.0000)  6 Cu 2.49-2.56, 2 Nb 2.70, 1 Rh 2.74


Record 22
Below is an optimized crystal structure of NbCuRh2, with properties calculated at the PBE level.

- Theoretical density: 9.3 g/cm³
- VASP energy: -7.114 eV/atom

Unit cell a=6.8000 b=6.8000 c=5.6030 alpha=90.00 beta=90.00 gamma=90.00
Last column: nearest neighbours and their distance in Å.
Space group I-42d (No. 122)
One atom of each set of equivalent atoms:
Nb (0.0000, 0.0000, 0.0000)  4 Rh 2.47
Cu (0.0000, 0.0000, 0.5000)  4 Rh 2.54, 2 Nb 2.80
Rh (0.2427, 0.2500, 0.1250)  2 Nb 2.47, 2 Cu 2.54


Record 23
Below is an optimized crystal structure of NbCuRh2, with properties calculated at the PBE level.

- Theoretical density: 9.4 g/cm³
- VASP energy: -6.940 eV/atom

Unit cell a=2.7405 b=4.7013 c=9.8861 alpha=90.00 beta=90.00 gamma=90.00
Last column: nearest neighbours and their distance in Å.
Space group Immm (No. 71)
One atom of each set of equivalent atoms:
Nb (0.0000, 0.0000, 0.0000)  2 Rh 2.42
Cu (0.0000, 0.0000, 0.5000)  2 Rh 2.52, 4 Nb 2.72, 2 Cu 2.74
Rh (0.0000, 0.0000, 0.2450)  1 Nb 2.42, 1 Cu 2.52


Record 24
Below is an optimized crystal structure of Nb2CuRh2, with properties calculated at the PBE level.

- Theoretical density: 9.7 g/cm³
- Relative energy among the computed polymorphs: 0.0000 eV per atom

Unit cell a=9.2604 b=3.0057 c=6.7193 alpha=90.00 beta=123.72 gamma=90.00
Last column: nearest neighbours and their distance in Å.
Space group C2/m (No. 12)
One atom of each set of equivalent atoms:
Nb (0.1958, 0.0000, 0.2808)  5 Rh 2.69-2.76, 3 Cu 2.79-2.90, 4 Nb 2.94-3.01
Cu (0.0000, 0.0000, 0.5000)  4 Rh 2.65, 6 Nb 2.79-2.90
Rh (0.0891, 0.5000, 0.8765)  2 Cu 2.65, 5 Nb 2.69-2.76, 3 Rh 2.90-2.92